Material: ZrTe2P
Method: DFT, PBE
State: optimized geometry

Computed properties:
Density of states at the Fermi level = 2.74 states/eV/cell
Energy above the most stable polymorph in this dataset = 404 meV/atom
Crystal system = tetragonal

Unit cell a=3.6084 b=3.6084 c=6.9198 alpha=90.00 beta=90.00 gamma=90.00
Fractional coordinates of all 4 atoms:
Zr  0.5000  0.5000  0.0000
Te  0.0000  0.0000  0.7628
Te  0.0000  0.0000  0.2372
P  0.5000  0.5000  0.5000